# 1
Computed, not measured: GaFeRe3 after structural relaxation at the PBE level of DFT.

## Properties
- Energy above the lowest structure with this stoichiometry: 0.00 eV per formula unit
- Space-group type: No. 221
- Spin magnetization: 0.00 μB per cell
- ΔH_f (0 K): 1537 meV/atom

Cell: 4.415 4.415 4.415 Å, 90.00 90.00 90.00°
Fractional positions:
Ga 0.000 0.000 0.000
Fe 0.500 0.500 0.500
Re 0.000 0.500 0.500
Re 0.500 0.000 0.500
Re 0.500 0.500 0.000

---

# 2
Computed, not measured: GaFeRe3 after structural relaxation at the PBE level of DFT.

## Properties
- Energy above the lowest structure with this stoichiometry: 3.70 eV per formula unit
- Space-group type: No. 221
- Spin magnetization: 0.00 μB per cell
- ΔH_f (0 K): 2276 meV/atom

Cell: 4.450 4.450 4.450 Å, 90.00 90.00 90.00°
Fractional positions:
Ga 0.000 0.000 0.000
Fe 0.500 0.500 0.500
Re 0.000 0.000 0.500
Re 0.000 0.500 0.000
Re 0.500 0.000 0.000